A relaxed structure of TiHRh3. Source: Alexandria via LeMat-Bulk, functional GGA-PBE.

Lattice parameters (Å, degrees): 11.257 7.029 7.029 106.70 134.82 45.18
Fractional coordinates of all 20 atoms:
H: 0.163 0.244 0.396
H: 0.337 0.896 0.744
H: 0.837 0.756 0.604
H: 0.663 0.104 0.256
Rh: 0.409 0.260 0.426
Rh: 0.091 0.926 0.760
Rh: 0.591 0.740 0.574
Rh: 0.909 0.074 0.240
Rh: 0.073 0.249 0.064
Rh: 0.427 0.564 0.749
Rh: 0.927 0.751 0.936
Rh: 0.573 0.436 0.251
Rh: 0.571 0.063 0.932
Rh: 0.929 0.432 0.563
Rh: 0.429 0.937 0.068
Rh: 0.071 0.568 0.437
Ti: 0.750 0.194 0.694
Ti: 0.250 0.806 0.306
Ti: 0.750 0.558 0.058
Ti: 0.250 0.442 0.942

Properties
The size of the total moment comes out at 0.0 μB/f.u. The value obtained for the energy above the lowest structure with this stoichiometry is 0.280 eV per atom. As for the density of states at the Fermi level: 0.8140 states/eV/atom. Its electronic total energy is -6.925 eV per atom.